Entry 1:
Entry from Alexandria via LeMat-Bulk: a relaxed structure of SbAs2Os (PBE).

## Properties
Total magnetic moment, μB per formula unit: 0.00
Symmetry: P4/mmm
Calculated total energy, eV per atom: -5.380
Formation energy without anion corrections, eV/atom: 0.783

Unit cell a=4.836 b=4.836 c=3.145 alpha=90.00 beta=90.00 gamma=90.00
Fractional positions:
Sb 0.000 0.000 0.000
As 0.000 0.500 0.500
As 0.500 0.000 0.500
Os 0.500 0.500 0.000



Entry 2:
Entry from Alexandria via LeMat-Bulk: a relaxed structure of SbAsOs (PBE).

## Properties
Total magnetic moment, μB per formula unit: 0.00
Symmetry: P1
Calculated total energy, eV per atom: -6.589
Formation energy without anion corrections, eV/atom: 0.079

Unit cell a=3.110 b=6.478 c=6.921 alpha=98.94 beta=102.95 gamma=90.65
Fractional positions:
Sb 0.000 0.000 0.000
Sb 0.165 0.476 0.356
As 0.251 0.996 0.504
As 0.428 0.577 0.878
Os 0.613 0.793 0.237
Os 0.813 0.722 0.640



Entry 3:
Entry from Alexandria via LeMat-Bulk: a relaxed structure of SbAsOs (PBE).

## Properties
Total magnetic moment, μB per formula unit: 0.00
Symmetry: P-6m2
Calculated total energy, eV per atom: -6.141
Formation energy without anion corrections, eV/atom: 0.526

Unit cell a=4.447 b=4.447 c=3.267 alpha=90.00 beta=90.00 gamma=120.00
Fractional positions:
Sb 0.000 0.000 0.000
As 0.667 0.333 0.500
Os 0.333 0.667 0.500



Entry 4:
Entry from Alexandria via LeMat-Bulk: a relaxed structure of SbAsOsSe2 (PBE).

## Properties
Total magnetic moment, μB per formula unit: 0.00
Symmetry: P4/mmm
Calculated total energy, eV per atom: -4.810
Formation energy without anion corrections, eV/atom: 0.584

Unit cell a=5.047 b=5.047 c=4.643 alpha=90.00 beta=90.00 gamma=90.00
Fractional positions:
Sb 0.000 0.000 0.000
As 0.500 0.500 0.000
Os 0.500 0.500 0.500
Se 0.000 0.500 0.500
Se 0.500 0.000 0.500



Entry 5:
Entry from Alexandria via LeMat-Bulk: a relaxed structure of TaSbAs2Os (PBE).

## Properties
Total magnetic moment, μB per formula unit: 1.97
Symmetry: P4/mmm
Calculated total energy, eV per atom: -6.149
Formation energy without anion corrections, eV/atom: 1.152

Unit cell a=4.616 b=4.616 c=5.612 alpha=90.00 beta=90.00 gamma=90.00
Fractional positions:
Ta 0.000 0.000 0.000
Sb 0.500 0.500 0.000
As 0.000 0.500 0.500
As 0.500 0.000 0.500
Os 0.500 0.500 0.500



Entry 6:
Entry from Alexandria via LeMat-Bulk: a relaxed structure of Th4SbAs2Os (PBE).

## Properties
Total magnetic moment, μB per formula unit: 0.00
Symmetry: P2/m
Calculated total energy, eV per atom: -7.711
Formation energy without anion corrections, eV/atom: -0.920

Unit cell a=7.464 b=4.247 c=7.571 alpha=90.00 beta=108.97 gamma=90.00
Fractional positions:
Th 0.233 0.000 0.223
Th 0.253 0.500 0.772
Th 0.747 0.500 0.228
Th 0.767 0.000 0.777
Sb 0.000 0.000 0.500
As 0.500 0.000 0.000
As 0.500 0.500 0.500
Os 0.000 0.500 0.000



Entry 7:
Entry from Alexandria via LeMat-Bulk: a relaxed structure of Th4Sb2AsOs (PBE).

## Properties
Total magnetic moment, μB per formula unit: 0.00
Symmetry: P2/m
Calculated total energy, eV per atom: -7.595
Formation energy without anion corrections, eV/atom: -0.869

Unit cell a=7.563 b=4.282 c=7.719 alpha=90.00 beta=108.73 gamma=90.00
Fractional positions:
Th 0.222 0.000 0.211
Th 0.247 0.500 0.776
Th 0.753 0.500 0.224
Th 0.778 0.000 0.789
Sb 0.000 0.000 0.500
Sb 0.500 0.500 0.500
As 0.500 0.000 0.000
Os 0.000 0.500 0.000



Entry 8:
Entry from Alexandria via LeMat-Bulk: a relaxed structure of SbAs2OsW (PBE).

## Properties
Total magnetic moment, μB per formula unit: 2.91
Symmetry: P4/mmm
Calculated total energy, eV per atom: -6.118
Formation energy without anion corrections, eV/atom: 1.403

Unit cell a=4.621 b=4.621 c=5.589 alpha=90.00 beta=90.00 gamma=90.00
Fractional positions:
Sb 0.000 0.000 0.000
As 0.000 0.500 0.500
As 0.500 0.000 0.500
Os 0.000 0.000 0.500
W 0.500 0.500 0.000



Entry 9:
Entry from Alexandria via LeMat-Bulk: a relaxed structure of ScAs2Os2 (PBE).

## Properties
Total magnetic moment, μB per formula unit: 0.00
Symmetry: I4/mmm
ΔE_f, eV/atom: -0.063
Calculated total energy, eV per atom: -7.681

Unit cell a=5.534 b=5.534 c=5.534 alpha=132.50 beta=132.50 gamma=69.44
Fractional positions:
Sc 0.000 0.000 0.000
As 0.250 0.750 0.500
As 0.750 0.250 0.500
Os 0.367 0.367 0.000
Os 0.633 0.633 0.000



Entry 10:
Entry from Alexandria via LeMat-Bulk: a relaxed structure of Sc2AsOs (PBE).

## Properties
Total magnetic moment, μB per formula unit: 0.00
Symmetry: R-3m
ΔE_f, eV/atom: -0.408
Calculated total energy, eV per atom: -7.544

Unit cell a=7.948 b=7.948 c=7.948 alpha=24.38 beta=24.38 gamma=24.38
Fractional positions:
Sc 0.249 0.249 0.249
Sc 0.751 0.751 0.751
As 0.000 0.000 0.000
Os 0.500 0.500 0.500



Entry 11:
Entry from Alexandria via LeMat-Bulk: a relaxed structure of Sc2AsOs (PBE).

## Properties
Total magnetic moment, μB per formula unit: 0.00
Symmetry: P4/mmm
ΔE_f, eV/atom: -0.630
Calculated total energy, eV per atom: -7.766

Unit cell a=4.527 b=4.527 c=3.441 alpha=90.00 beta=90.00 gamma=90.00
Fractional positions:
Sc 0.000 0.500 0.000
Sc 0.500 0.000 0.000
As 0.000 0.000 0.500
Os 0.500 0.500 0.500



Entry 12:
Entry from Alexandria via LeMat-Bulk: a relaxed structure of Sc2AsOs (PBE).

## Properties
Total magnetic moment, μB per formula unit: 0.00
Symmetry: Pmmm
ΔE_f, eV/atom: -0.706
Calculated total energy, eV per atom: -7.842

Unit cell a=3.356 b=3.402 c=6.180 alpha=90.00 beta=90.00 gamma=90.00
Fractional positions:
Sc 0.000 0.000 0.246
Sc 0.000 0.000 0.754
As 0.500 0.500 0.500
Os 0.500 0.500 0.000



Look up the total magnetic moment of the second one.
0.00 μB per formula unit